Entry 1:
DyAl3Ru | PBE | optimized geometry Values from VASP.

Results
DFT formation energy, eV per formula unit: -3.00

Structure (Quantum ESPRESSO input):
```
&SYSTEM
  ibrav = 0, nat = 15, ntyp = 3
/
ATOMIC_SPECIES
Dy 162.50 Dy.upf
Al 26.98 Al.upf
Ru 101.07 Ru.upf
ATOMIC_POSITIONS angstrom
Dy 0.000 0.000 3.216
Dy 0.000 3.216 0.000
Dy 3.216 0.000 0.000
Al 0.000 0.000 0.000
Al 1.865 1.865 1.865
Al 1.865 1.865 4.566
Al 1.865 4.566 1.865
Al 1.865 4.566 4.566
Al 4.566 1.865 1.865
Al 4.566 1.865 4.566
Al 4.566 4.566 1.865
Al 4.566 4.566 4.566
Ru 0.000 3.216 3.216
Ru 3.216 0.000 3.216
Ru 3.216 3.216 0.000
CELL_PARAMETERS angstrom
6.431 0.000 0.000
0.000 6.431 0.000
0.000 0.000 6.431
```



Entry 2:
CsIn2Cu | PBE | optimized geometry Values from VASP.

Results
DFT formation energy, eV per formula unit: 0.59
Offset from the most stable computed form, meV/atom: 138.4

Structure (Quantum ESPRESSO input):
```
&SYSTEM
  ibrav = 0, nat = 16, ntyp = 3
/
ATOMIC_SPECIES
Cs 132.91 Cs.upf
In 114.82 In.upf
Cu 63.55 Cu.upf
ATOMIC_POSITIONS angstrom
Cs 0.000 1.673 5.594
Cs 0.000 5.019 9.324
Cs 3.346 1.673 1.865
Cs 3.346 5.019 13.054
In 0.000 0.000 0.000
In 0.000 3.346 0.000
In 1.673 1.673 11.189
In 1.673 5.019 3.730
In 3.346 0.000 7.459
In 3.346 3.346 7.459
In 5.019 1.673 11.189
In 5.019 5.019 3.730
Cu 0.000 1.673 13.054
Cu 0.000 5.019 1.865
Cu 3.346 1.673 9.324
Cu 3.346 5.019 5.594
CELL_PARAMETERS angstrom
6.691 0.000 0.000
0.000 6.691 0.000
0.000 0.000 14.918
```



Entry 3:
Ca2LaSi | PBE | optimized geometry Values from VASP.

Results
Energy relative to the elements, uncorrected, meV per atom: 109

Structure (Quantum ESPRESSO input):
```
&SYSTEM
  ibrav = 0, nat = 8, ntyp = 3
/
ATOMIC_SPECIES
Ca 40.08 Ca.upf
La 138.91 La.upf
Si 28.09 Si.upf
ATOMIC_POSITIONS angstrom
Ca 1.675 2.476 0.000
Ca 1.675 7.429 0.000
Ca 5.025 2.476 0.000
Ca 5.025 7.429 0.000
La 0.000 0.000 1.822
La 3.350 4.953 1.822
Si 0.000 4.953 1.822
Si 3.350 0.000 1.822
CELL_PARAMETERS angstrom
6.700 0.000 0.000
0.000 9.905 0.000
0.000 0.000 3.644
```



Entry 4:
Tb15Dy4Al | PBE | optimized geometry Values from VASP.

Results
DFT formation energy, eV per formula unit: -0.28

Structure (Quantum ESPRESSO input):
```
&SYSTEM
  ibrav = 0, nat = 20, ntyp = 3
/
ATOMIC_SPECIES
Tb 158.93 Tb.upf
Dy 162.50 Dy.upf
Al 26.98 Al.upf
ATOMIC_POSITIONS angstrom
Tb 0.000 0.000 0.000
Tb 0.000 0.000 4.872
Tb 0.000 0.000 9.987
Tb 0.000 0.000 15.107
Tb 0.000 0.000 20.221
Tb 0.000 2.481 2.351
Tb 0.000 2.481 7.450
Tb 0.000 2.481 12.547
Tb 0.000 2.481 17.643
Tb 0.000 2.481 22.742
Tb 2.481 0.000 2.351
Tb 2.481 0.000 7.450
Tb 2.481 0.000 12.547
Tb 2.481 0.000 17.643
Tb 2.481 0.000 22.742
Dy 2.481 2.481 4.918
Dy 2.481 2.481 10.007
Dy 2.481 2.481 15.086
Dy 2.481 2.481 20.176
Al 2.481 2.481 0.000
CELL_PARAMETERS angstrom
4.962 0.000 0.000
0.000 4.962 0.000
0.000 0.000 25.093
```



Entry 5:
TlCo2TeRh | PBE | optimized geometry Values from VASP.

Results
Energy relative to the elements, uncorrected, meV per atom: 1420

Structure (Quantum ESPRESSO input):
```
&SYSTEM
  ibrav = 0, nat = 5, ntyp = 4
/
ATOMIC_SPECIES
Tl 204.38 Tl.upf
Co 58.93 Co.upf
Te 127.60 Te.upf
Rh 102.91 Rh.upf
ATOMIC_POSITIONS angstrom
Tl 0.000 0.000 0.000
Co 0.000 2.388 0.000
Co 2.388 0.000 0.000
Te 2.388 2.388 2.515
Rh 0.000 0.000 2.515
CELL_PARAMETERS angstrom
4.775 0.000 0.000
0.000 4.775 0.000
0.000 0.000 5.029
```



Entry 6:
Th2Mn2B2C | PBE | optimized geometry Values from VASP.

Results
DFT formation energy, eV per formula unit: -2.37

Structure (Quantum ESPRESSO input):
```
&SYSTEM
  ibrav = 0, nat = 14, ntyp = 4
/
ATOMIC_SPECIES
Th 232.04 Th.upf
Mn 54.94 Mn.upf
B 10.81 B.upf
C 12.01 C.upf
ATOMIC_POSITIONS angstrom
Th -0.536 0.000 1.775
Th 1.982 1.812 3.706
Th 4.677 1.812 1.775
Th 7.194 0.000 3.706
Mn 1.784 1.812 0.482
Mn -0.338 0.000 4.999
Mn 6.996 0.000 0.482
Mn 4.874 1.812 4.999
B -0.883 1.812 4.175
B 2.329 0.000 1.307
B 4.330 0.000 4.175
B 7.541 1.812 1.307
C 0.000 1.812 0.000
C 5.212 0.000 0.000
CELL_PARAMETERS angstrom
10.425 0.000 0.000
0.000 3.624 0.000
-3.766 0.000 5.481
```



Entry 7:
Ca2HgPd | PBE | optimized geometry Values from VASP.

Results
DFT formation energy, eV per formula unit: -1.91

Structure (Quantum ESPRESSO input):
```
&SYSTEM
  ibrav = 0, nat = 12, ntyp = 3
/
ATOMIC_SPECIES
Ca 40.08 Ca.upf
Hg 200.59 Hg.upf
Pd 106.42 Pd.upf
ATOMIC_POSITIONS angstrom
Ca 0.000 0.000 0.000
Ca 0.000 0.000 4.290
Ca 0.000 2.429 14.930
Ca 0.000 2.429 19.220
Ca 2.104 1.215 7.465
Ca 2.104 1.215 11.755
Hg 0.000 0.000 9.668
Hg 0.000 2.429 2.203
Hg 2.104 1.215 17.133
Pd 0.000 0.000 13.285
Pd 0.000 2.429 5.820
Pd 2.104 1.215 20.750
CELL_PARAMETERS angstrom
4.208 0.000 0.000
-2.104 3.644 0.000
0.000 0.000 22.395
```



Entry 8:
PmSm2Er | PBE | optimized geometry Values from VASP.

Results
DFT formation energy, eV per formula unit: 0.57
Offset from the most stable computed form, meV/atom: 126.1

Structure (Quantum ESPRESSO input):
```
&SYSTEM
  ibrav = 0, nat = 16, ntyp = 3
/
ATOMIC_SPECIES
Pm 145.00 Pm.upf
Sm 150.36 Sm.upf
Er 167.26 Er.upf
ATOMIC_POSITIONS angstrom
Pm 0.000 0.000 0.000
Pm 0.000 4.057 4.057
Pm 4.057 0.000 4.057
Pm 4.057 4.057 0.000
Sm 2.028 2.028 2.028
Sm 2.028 2.028 6.085
Sm 2.028 6.085 2.028
Sm 2.028 6.085 6.085
Sm 6.085 2.028 2.028
Sm 6.085 2.028 6.085
Sm 6.085 6.085 2.028
Sm 6.085 6.085 6.085
Er 0.000 0.000 4.057
Er 0.000 4.057 0.000
Er 4.057 0.000 0.000
Er 4.057 4.057 4.057
CELL_PARAMETERS angstrom
8.113 0.000 0.000
0.000 8.113 0.000
0.000 0.000 8.113
```